Below is crystalline NpScNi2O6 at its relaxed geometry, with properties calculated at the PBE+U level.

Unit cell a=5.7364 b=5.7364 c=5.7364 alpha=55.27 beta=55.27 gamma=55.27
Last column: nearest neighbours and their distance in Å.
Atoms (fractional coordinates):
Np: 0.0000 0.0000 0.0000  6 O 2.14-2.17
Sc: 0.5032 0.5032 0.5032  6 O 2.09-2.18
Ni: 0.3019 0.3019 0.3019  6 O 2.08-2.17
Ni: 0.7976 0.7976 0.7976  6 O 2.04-2.22
O: 0.0962 0.4100 0.7004  2 Ni 2.04-2.17, 1 Np 2.14, 1 Sc 2.18
O: 0.2062 0.9051 0.5936  2 Ni 2.08-2.22, 1 Sc 2.09, 1 Np 2.17
O: 0.4100 0.7004 0.0962  2 Ni 2.04-2.17, 1 Np 2.14, 1 Sc 2.18
O: 0.5936 0.2062 0.9051  2 Ni 2.08-2.22, 1 Sc 2.09, 1 Np 2.17
O: 0.7004 0.0962 0.4100  2 Ni 2.04-2.17, 1 Np 2.14, 1 Sc 2.18
O: 0.9051 0.5936 0.2062  2 Ni 2.08-2.22, 1 Sc 2.09, 1 Np 2.17

Energy = -77.0 eV for the cell shown
DOS at the Fermi energy = 7.84 states/eV/f.u.
Total magnetization = 2.000 μB/cell